DFT (PBE-GGA) results for an optimized crystal structure of Mg2RuW. Values from VASP.

Summary:
- Crystal system: monoclinic
- Density: 8.48 g cm⁻³
- Energy above the lowest structure with this stoichiometry: 277 meV per atom
- Formation enthalpy at 0 K: 30 kJ per mole of atoms

```
&SYSTEM
  ibrav = 0, nat = 4, ntyp = 3
/
ATOMIC_SPECIES
Mg 24.30 Mg.upf
Ru 101.07 Ru.upf
W 183.84 W.upf
ATOMIC_POSITIONS angstrom
Mg 0.202 0.000 1.320
Mg 1.201 0.000 3.827
Ru -0.678 2.299 2.573
W 1.379 2.299 0.000
CELL_PARAMETERS angstrom
2.759 0.000 0.000
0.000 4.599 0.000
-1.356 0.000 5.147
```